No. 1
Density functional theory data (PBE-GGA) for a geometry-optimized PdS5O structure.

Cell lengths 8.1222, 8.1222, 8.1222 Å; angles 149.67, 143.88, 47.86 degrees
Fractional positions:
1 Pd 0.0000 0.0000 0.0000
2 S 0.2502 0.7502 0.5000
3 S 0.3488 0.1439 0.2049
4 S 0.3778 0.1507 0.7729
5 S 0.3778 0.6048 0.2271
6 S 0.9390 0.1439 0.7951
7 O 0.9756 0.4756 0.5000

No. 2
Density functional theory data (PBE-GGA) for a geometry-optimized Sc2PdSO structure.

Cell lengths 4.1001, 4.1001, 5.0155 Å; angles 90.00, 90.00, 90.00 degrees
Fractional positions:
1 Sc 0.0000 0.5000 0.0000
2 Sc 0.5000 0.0000 0.0000
3 Pd 0.0000 0.0000 0.5000
4 S 0.5000 0.5000 0.5000
5 O 0.5000 0.5000 0.0000

No. 3
Density functional theory data (PBE-GGA) for a geometry-optimized SrPdS2O8 structure.

Cell lengths 7.8700, 7.8700, 7.8700 Å; angles 36.45, 36.45, 36.45 degrees
Fractional positions:
1 Sr 0.0000 0.0000 0.0000
2 Pd 0.5000 0.5000 0.5000
3 S 0.2499 0.2499 0.2499
4 S 0.7501 0.7501 0.7501
5 O 0.0544 0.7814 0.4764
6 O 0.2186 0.5236 0.9456
7 O 0.3178 0.3178 0.3178
8 O 0.4764 0.0544 0.7814
9 O 0.5236 0.9456 0.2186
10 O 0.6822 0.6822 0.6822
11 O 0.7814 0.4764 0.0544
12 O 0.9456 0.2186 0.5236

No. 4
Density functional theory data (PBE-GGA) for a geometry-optimized TePdSO2 structure.

Cell lengths 3.8184, 3.8184, 4.9431 Å; angles 90.00, 90.00, 90.00 degrees
Fractional positions:
1 Te 0.0000 0.0000 0.0000
2 Pd 0.5000 0.5000 0.0000
3 S 0.5000 0.5000 0.5000
4 O 0.0000 0.5000 0.5000
5 O 0.5000 0.0000 0.5000

No. 5
Density functional theory data (PBE-GGA) for a geometry-optimized Te2PdSO structure.

Cell lengths 5.3833, 5.3833, 3.4013 Å; angles 90.00, 90.00, 90.00 degrees
Fractional positions:
1 Te 0.0000 0.5000 0.0000
2 Te 0.5000 0.0000 0.0000
3 Pd 0.0000 0.0000 0.5000
4 S 0.5000 0.5000 0.0000
5 O 0.5000 0.5000 0.5000

DFT total energy
In order: -3.806 -6.471 -6.074 -4.338 -3.976
Unit: eV/atom
Energy relative to the elements, uncorrected
In order: 592 -1083 -1508 138 136
Unit: meV/atom